A relaxed structure of AlZnB, computed with PBE-GGA.

Output
E_form ... 578 meV per atom
E ... -19.9 eV/cell
Magnetization ... 0.0 Bohr magnetons per cell
Space group ... P4/nmm

Unit cell a=3.8783 b=3.8783 c=5.2719 alpha=90.00 beta=90.00 gamma=90.00
Sites, in units of the cell vectors:
Zn  0.0000  0.5000  0.7691
Zn  0.5000  0.0000  0.2309
B  0.0000  0.0000  0.5000
B  0.5000  0.5000  0.5000
Al  0.0000  0.5000  0.2464
Al  0.5000  0.0000  0.7536

***

A relaxed structure of AlZnB, computed with PBE-GGA.

Output
E_form ... 497 meV per atom
E ... -20.4 eV/cell
Magnetization ... 0.0 Bohr magnetons per cell
Space group ... P6_3/mmc

Unit cell a=3.7724 b=3.7724 c=7.9547 alpha=90.00 beta=90.00 gamma=120.00
Sites, in units of the cell vectors:
Zn  0.3333  0.6667  0.2500
Zn  0.6667  0.3333  0.7500
B  0.0000  0.0000  0.2500
B  0.0000  0.0000  0.7500
Al  0.0000  0.0000  0.0000
Al  0.0000  0.0000  0.5000

***

A relaxed structure of ZrAlB3, computed with PBE-GGA.

Output
E_form ... 1775 meV per atom
E ... -23.4 eV/cell
Magnetization ... 0.0 Bohr magnetons per cell
Offset from the most stable computed form ... 721 meV/atom
Space group ... Pm-3m

Unit cell a=4.4005 b=4.4005 c=4.4005 alpha=90.00 beta=90.00 gamma=90.00
Sites, in units of the cell vectors:
B  0.0000  0.5000  0.0000
B  0.0000  0.0000  0.5000
B  0.5000  0.0000  0.0000
Al  0.5000  0.5000  0.5000
Zr  0.0000  0.0000  0.0000

***

A relaxed structure of ZrAlB, computed with PBE-GGA.

Output
E_form ... -124 meV per atom
E ... -38.7 eV/cell
Magnetization ... 0.0 Bohr magnetons per cell
Space group ... Cmcm

Unit cell a=4.2369 b=4.2369 c=5.1405 alpha=90.00 beta=90.00 gamma=108.64
Sites, in units of the cell vectors:
Zr  0.7825  0.0821  0.7500
Zr  0.0821  0.7825  0.2500
B  0.7100  0.1546  0.2500
B  0.1546  0.7100  0.7500
Al  0.4324  0.4324  0.0000
Al  0.4324  0.4324  0.5000

***

A relaxed structure of ZrAl2B, computed with PBE-GGA.

Output
E_form ... -98 meV per atom
E ... -46.2 eV/cell
Magnetization ... 0.0 Bohr magnetons per cell
Space group ... I-42d

Unit cell a=7.1048 b=7.1048 c=5.6084 alpha=50.70 beta=50.70 gamma=90.00
Sites, in units of the cell vectors:
B  0.5000  0.5000  0.0000
B  0.2500  0.7500  0.5000
Al  0.5402  0.1250  0.2500
Al  0.2098  0.6250  0.2500
Al  0.3750  0.4598  0.7500
Al  0.8750  0.7902  0.7500
Zr  0.0000  0.0000  0.0000
Zr  0.7500  0.2500  0.5000

***

A relaxed structure of ZrAlB3, computed with PBE-GGA.

Output
E_form ... 1054 meV per atom
E ... -27.1 eV/cell
Magnetization ... 0.0 Bohr magnetons per cell
Offset from the most stable computed form ... 0 meV/atom
Space group ... Pm-3m

Unit cell a=3.9941 b=3.9941 c=3.9941 alpha=90.00 beta=90.00 gamma=90.00
Sites, in units of the cell vectors:
B  0.0000  0.5000  0.0000
B  0.0000  0.0000  0.5000
B  0.5000  0.0000  0.0000
Al  0.0000  0.0000  0.0000
Zr  0.5000  0.5000  0.5000

***

A relaxed structure of ZrAl2B6, computed with PBE-GGA.

Output
E_form ... -277 meV per atom
E ... -58.6 eV/cell
Magnetization ... 0.0 Bohr magnetons per cell
Space group ... P6/mmm

Unit cell a=3.4120 b=5.3124 c=5.3124 alpha=120.00 beta=90.00 gamma=90.00
Sites, in units of the cell vectors:
Zr  0.0000  0.0000  0.0000
Al  0.0000  0.3333  0.6667
Al  0.0000  0.6667  0.3333
B  0.5000  0.3375  0.3375
B  0.5000  0.6625  0.6625
B  0.5000  0.0000  0.6625
B  0.5000  0.6625  0.0000
B  0.5000  0.3375  0.0000
B  0.5000  0.0000  0.3375

***

A relaxed structure of ZrAlB2, computed with PBE-GGA.

Output
E_form ... 376 meV per atom
E ... -48.3 eV/cell
Magnetization ... 0.0 Bohr magnetons per cell
Space group ... I-42d

Unit cell a=4.0490 b=4.0490 c=7.3982 alpha=74.12 beta=74.12 gamma=90.00
Sites, in units of the cell vectors:
B  0.4790  0.1250  0.2500
B  0.2710  0.6250  0.2500
B  0.3750  0.5210  0.7500
B  0.8750  0.7290  0.7500
Al  0.5000  0.5000  0.0000
Al  0.2500  0.7500  0.5000
Zr  0.0000  0.0000  0.0000
Zr  0.7500  0.2500  0.5000

***

A relaxed structure of BaAl, computed with PBE-GGA.

Output
E_form ... 221 meV per atom
E ... -41.8 eV/cell
Magnetization ... 0.0 Bohr magnetons per cell
Space group ... I-43m

Unit cell a=10.0331 b=10.0331 c=10.0331 alpha=90.00 beta=90.00 gamma=90.00
Sites, in units of the cell vectors:
Ba  0.2950  0.2950  0.2950
Ba  0.2950  0.7050  0.7050
Ba  0.7050  0.2950  0.7050
Ba  0.7050  0.7050  0.2950
Ba  0.7950  0.7950  0.7950
Ba  0.7950  0.2050  0.2050
Ba  0.2050  0.7950  0.2050
Ba  0.2050  0.2050  0.7950
Al  0.0969  0.0969  0.0969
Al  0.0969  0.9031  0.9031
Al  0.9031  0.0969  0.9031
Al  0.9031  0.9031  0.0969
Al  0.5969  0.5969  0.5969
Al  0.5969  0.4031  0.4031
Al  0.4031  0.5969  0.4031
Al  0.4031  0.4031  0.5969

***

A relaxed structure of Ba3Al, computed with PBE-GGA.

Output
E_form ... 103 meV per atom
E ... -9.1 eV/cell
Magnetization ... 0.0 Bohr magnetons per cell
Space group ... P-6m2

Unit cell a=4.4774 b=4.4774 c=12.3868 alpha=90.00 beta=90.00 gamma=120.00
Sites, in units of the cell vectors:
Ba  0.0000  0.0000  0.5000
Ba  0.6667  0.3333  0.1887
Ba  0.6667  0.3333  0.8113
Al  0.0000  0.0000  0.0000

***

A relaxed structure of BaAl5, computed with PBE-GGA.

Output
E_form ... 140 meV per atom
E ... -19.8 eV/cell
Magnetization ... 0.0 Bohr magnetons per cell
Space group ... P4/mmm

Unit cell a=3.1159 b=3.1159 c=13.0211 alpha=90.00 beta=90.00 gamma=90.00
Sites, in units of the cell vectors:
Ba  0.5000  0.5000  0.0000
Al  0.0000  0.0000  0.7865
Al  0.0000  0.0000  0.2135
Al  0.5000  0.5000  0.6447
Al  0.5000  0.5000  0.3553
Al  0.0000  0.0000  0.5000

***

A relaxed structure of BaAl5, computed with PBE-GGA.

Output
E_form ... -129 meV per atom
E ... -21.4 eV/cell
Magnetization ... 0.0 Bohr magnetons per cell
Space group ... P6/mmm

Unit cell a=6.0147 b=6.0147 c=4.2698 alpha=90.00 beta=90.00 gamma=120.00
Sites, in units of the cell vectors:
Al  0.3333  0.6667  0.0000
Al  0.6667  0.3333  0.0000
Al  0.5000  0.0000  0.5000
Al  0.0000  0.5000  0.5000
Al  0.5000  0.5000  0.5000
Ba  0.0000  0.0000  0.0000

***

> E_form of number 5 (ZrAl2B)?

-98 meV per atom